Sr2CaHg3: relaxed, PBE.

Output
N(E_F)	4.54	states/eV/cell
mass density	7.438	g cm⁻³
electronic total energy	-1.576	eV/atom

POSCAR file:
```
Sr2CaHg3
1.0
3.9521 0.0000 0.0000
0.0000 3.9521 0.0000
0.0000 0.0000 11.6794
Sr Ca Hg
2 1 3
Direct
0.5000 0.5000 0.8268
0.5000 0.5000 0.1732
0.5000 0.5000 0.5000
0.0000 0.0000 0.0000
0.0000 0.0000 0.6523
0.0000 0.0000 0.3477
```

---

Sr4CaHg: relaxed, PBE.

Output
relative energy among the computed polymorphs	0.26	eV/f.u.
N(E_F)	14.48	states/eV/cell
mass density	3.508	g cm⁻³
electronic total energy	-1.638	eV/atom

POSCAR file:
```
Sr4CaHg
1.0
7.2176 -0.7416 0.0000
-2.7617 10.3505 0.0000
-2.2279 -4.8044 7.7029
Sr Ca Hg
8 2 2
Direct
0.0524 0.1829 0.8145
0.7763 0.7221 0.6593
0.2621 0.6316 0.8145
0.3829 0.9372 0.6593
0.6171 0.0628 0.3407
0.7379 0.3684 0.1855
0.2237 0.2779 0.3407
0.9476 0.8171 0.1855
0.3614 0.6114 0.2227
0.6386 0.3886 0.7773
0.2513 0.0013 0.0027
0.7487 0.9987 0.9973
```

---

Sr2CaHg: relaxed, PBE.

Output
N(E_F)	16.24	states/eV/cell
mass density	4.309	g cm⁻³
electronic total energy	-1.695	eV/atom

POSCAR file:
```
Sr2CaHg
1.0
6.4279 0.0000 2.2577
3.2140 9.7010 1.1288
-0.0008 0.0000 10.2817
Sr Ca Hg
8 4 4
Direct
0.5873 0.2992 0.5286
0.2347 0.1672 0.8883
0.8841 0.5286 0.7008
0.1135 0.4714 0.2992
0.2902 0.8328 0.1117
0.4151 0.7008 0.4714
0.8770 0.8883 0.8328
0.5981 0.1117 0.1672
0.3000 0.5404 0.8966
0.8034 0.8966 0.4596
0.1595 0.1034 0.5404
0.7370 0.4596 0.1034
0.8118 0.7485 0.1615
0.4397 0.8385 0.7485
0.7219 0.2515 0.8385
0.0266 0.1615 0.2515
```

---

SrCaHg4: relaxed, PBE.

Output
relative energy among the computed polymorphs	0.95	eV/f.u.
N(E_F)	3.31	states/eV/cell
mass density	7.909	g cm⁻³
electronic total energy	-1.119	eV/atom

POSCAR file:
```
SrCaHg4
1.0
-1.6758 -3.2507 -2.4830
4.0584 -0.9470 -1.4996
1.2857 -6.4139 7.5293
Sr Ca Hg
1 1 4
Direct
0.5013 0.4972 0.9981
0.0013 0.9974 0.4982
0.5019 0.9978 0.2595
0.5007 0.9967 0.7368
0.0007 0.4968 0.7361
0.0019 0.4978 0.2601
```

---

SrCa2Hg: relaxed, PBE.

Output
N(E_F)	3.14	states/eV/cell
mass density	3.893	g cm⁻³
electronic total energy	-1.733	eV/atom

POSCAR file:
```
SrCa2Hg
1.0
-5.7849 -0.0971 -3.8612
-5.0398 -4.0032 -2.6378
-6.2502 -0.3159 2.7978
Sr Ca Hg
1 2 1
Direct
0.1981 0.1981 0.2485
0.0098 0.0098 0.9620
0.8103 0.8103 0.6330
0.4818 0.4818 0.6565
```

---

SrCaHg2: relaxed, PBE.

Output
relative energy among the computed polymorphs	0.42	eV/f.u.
N(E_F)	2.05	states/eV/cell
mass density	6.400	g cm⁻³
electronic total energy	-1.502	eV/atom

POSCAR file:
```
SrCaHg2
1.0
8.0371 0.0558 0.0342
6.7085 4.4266 0.0342
6.7085 2.0393 3.9290
Sr Ca Hg
1 1 2
Direct
0.2500 0.2500 0.2500
0.7500 0.7500 0.7500
0.0067 0.0067 0.0067
0.4933 0.4933 0.4933
```

---

Copy entry 5 word for word.
SrCa2Hg: relaxed, PBE.

Output
N(E_F)	3.14	states/eV/cell
mass density	3.893	g cm⁻³
electronic total energy	-1.733	eV/atom

POSCAR file:
```
SrCa2Hg
1.0
-5.7849 -0.0971 -3.8612
-5.0398 -4.0032 -2.6378
-6.2502 -0.3159 2.7978
Sr Ca Hg
1 2 1
Direct
0.1981 0.1981 0.2485
0.0098 0.0098 0.9620
0.8103 0.8103 0.6330
0.4818 0.4818 0.6565
```

---

Copy entry 4 word for word.
SrCaHg4: relaxed, PBE.

Output
relative energy among the computed polymorphs	0.95	eV/f.u.
N(E_F)	3.31	states/eV/cell
mass density	7.909	g cm⁻³
electronic total energy	-1.119	eV/atom

POSCAR file:
```
SrCaHg4
1.0
-1.6758 -3.2507 -2.4830
4.0584 -0.9470 -1.4996
1.2857 -6.4139 7.5293
Sr Ca Hg
1 1 4
Direct
0.5013 0.4972 0.9981
0.0013 0.9974 0.4982
0.5019 0.9978 0.2595
0.5007 0.9967 0.7368
0.0007 0.4968 0.7361
0.0019 0.4978 0.2601
```